[1]
Density functional theory data (PBE) for a relaxed Ac2PbCl crystal.

a b c (Å): 7.450 7.450 7.450
angles (deg): 38.08 38.08 38.08
Sites, in units of the cell vectors:
Ac1 0.247 0.247 0.247
Ac2 0.753 0.753 0.753
Pb1 0.000 0.000 0.000
Cl1 0.500 0.500 0.500

Summary:
E	-4.477	eV per atom
symmetry	R-3m (166)
polymorph energy (0 for the lowest one)	0.000	eV per atom
formation energy without anion corrections	-1.034	eV per atom

[2]
Density functional theory data (PBE) for a relaxed BeOsRu2 crystal.

a b c (Å): 4.557 4.557 4.529
angles (deg): 98.70 98.70 34.40
Sites, in units of the cell vectors:
Be1 0.000 0.000 0.000
Os1 0.500 0.500 0.500
Ru1 0.248 0.248 0.759
Ru2 0.752 0.752 0.241

Summary:
formation enthalpy at 0 K	0.141	eV/atom
E	-8.236	eV per atom
symmetry	C2/m (12)

[3]
Density functional theory data (PBE) for a relaxed Y2ScRh crystal.

a b c (Å): 6.059 6.059 6.059
angles (deg): 139.32 139.32 58.88
Sites, in units of the cell vectors:
Y1 0.000 0.000 0.000
Y2 0.750 0.250 0.500
Sc1 0.500 0.500 0.000
Rh1 0.250 0.750 0.500

Summary:
formation enthalpy at 0 K	-0.165	eV/atom
E	-6.818	eV per atom
symmetry	I-4m2 (119)
polymorph energy (0 for the lowest one)	0.295	eV per atom